1.
Entry from the Alexandria database: a relaxed structure of MgGeAu3 (PBE).

Results
Distance to the lowest polymorph of the same formula (eV per atom): 0.000

a = 5.0639 Å, b = 5.0467 Å, c = 7.5908 Å
α = 87.43°, β = 71.46°, γ = 87.23°
Positions (direct):
Mg 0.3700 0.3620 0.0120
Mg 0.0415 0.8237 0.6024
Ge 0.8112 0.8278 0.0245
Ge 0.6001 0.3643 0.5901
Au 0.1847 0.3332 0.4123
Au 0.9683 0.3154 0.8084
Au 0.6276 0.8496 0.4150
Au 0.7834 0.3431 0.1995
Au 0.2263 0.8527 0.2023
Au 0.4424 0.8723 0.8063

---

2.
Entry from the Alexandria database: a relaxed structure of Mg2GeAu (PBE).

a = 3.2824 Å, b = 3.2824 Å, c = 6.9894 Å
α = 90.00°, β = 90.00°, γ = 90.00°
Positions (direct):
Ge 0.5000 0.5000 0.5000
Au 0.5000 0.5000 0.0000
Mg 0.0000 0.0000 0.7639
Mg 0.0000 0.0000 0.2361

---

3.
Entry from the Alexandria database: a relaxed structure of Mg2GeAu (PBE).

a = 3.2876 Å, b = 3.2876 Å, c = 8.6272 Å
α = 79.02°, β = 79.02°, γ = 60.00°
Positions (direct):
Mg 0.0811 0.0811 0.7568
Mg 0.2519 0.2519 0.2442
Ge 0.5004 0.5004 0.4988
Au 0.6666 0.6666 0.0002

---

4.
Entry from the Alexandria database: a relaxed structure of Mg2GeAu (PBE).

a = 3.7852 Å, b = 4.4224 Å, c = 4.4224 Å
α = 90.00°, β = 90.00°, γ = 90.00°
Positions (direct):
Ge 0.5000 0.0000 0.0000
Au 0.5000 0.5000 0.5000
Mg 0.0000 0.0000 0.5000
Mg 0.0000 0.5000 0.0000

---

5.
Entry from the Alexandria database: a relaxed structure of MgGeAu6 (PBE).

Results
Distance to the lowest polymorph of the same formula (eV per atom): 0.008

a = 4.1225 Å, b = 4.1225 Å, c = 8.5462 Å
α = 90.00°, β = 90.00°, γ = 90.00°
Positions (direct):
Mg 0.0000 0.0000 0.5000
Ge 0.0000 0.0000 0.0000
Au 0.5000 0.5000 0.0000
Au 0.5000 0.5000 0.5000
Au 0.5000 0.0000 0.2552
Au 0.5000 0.0000 0.7448
Au 0.0000 0.5000 0.2552
Au 0.0000 0.5000 0.7448

---

6.
Entry from the Alexandria database: a relaxed structure of Mg2GeAu6 (PBE).

a = 4.9856 Å, b = 8.3557 Å, c = 8.3557 Å
α = 71.91°, β = 82.95°, γ = 82.95°
Positions (direct):
Mg 0.4208 0.5411 0.7917
Mg 0.0792 0.2083 0.4589
Mg 0.5792 0.4589 0.2083
Mg 0.9208 0.7917 0.5411
Ge 0.2500 0.1272 0.8728
Ge 0.7500 0.8728 0.1272
Au 0.4767 0.6816 0.4316
Au 0.0233 0.5684 0.3184
Au 0.5233 0.3184 0.5684
Au 0.9767 0.4316 0.6816
Au 0.6320 0.1033 0.3482
Au 0.8680 0.6518 0.8967
Au 0.3680 0.8967 0.6518
Au 0.1320 0.3482 0.1033
Au 0.3188 0.7628 0.0136
Au 0.1812 0.9864 0.2372
Au 0.6812 0.2372 0.9864
Au 0.8188 0.0136 0.7628

---

Summary of calculated total energy in eV for the cell shown
-34.544 -12.470 -12.022 -12.408 -27.022 -60.143
(order as listed above)
Summary of energy of formation from the pure elements in eV/atom
-0.246 -0.346 -0.234 -0.331 -0.143 -0.289
(order as listed above)
Summary of calculated density in kg/m3
12441 7017 6708 7138 14620 13232
(order as listed above)